[1]
VASP calculation (meta-GGA SCAN) on CrSn3P6O24 at its PBEsol-relaxed geometry.

Lattice parameters (Å, degrees): 8.4362 8.4362 8.8513 61.54 61.54 60.00
Closest atoms and distances in Å follow each position.
Positions (direct):
Cr (0.8578, 0.8578, 0.4267)  6 O 1.80-1.84
Sn (0.1395, 0.1395, 0.5814)  6 O 2.00-2.01
Sn (0.3567, 0.3567, 0.9299)  6 O 2.04-2.07
Sn (0.6457, 0.6457, 0.0630)  6 O 2.02-2.03
O (0.2179, 0.5308, 0.0922)  1 P 1.53
O (0.5308, 0.1592, 0.0922)  1 P 1.53
O (0.8759, 0.2706, 0.7278)  1 P 1.52
O (0.1592, 0.2179, 0.0922)  1 P 1.53
O (0.5391, 0.5085, 0.7755)  1 P 1.54
O (0.8103, 0.6310, 0.5707)  1 P 1.57
O (0.1258, 0.8759, 0.7278)  1 P 1.52
O (0.1768, 0.5391, 0.7755)  1 P 1.54
O (0.5085, 0.1768, 0.7755)  1 P 1.54
O (0.3926, 0.9990, 0.4285)  1 P 1.51
O (0.7386, 0.8976, 0.2822)  1 P 1.57
O (0.9990, 0.1800, 0.4285)  1 P 1.51
O (0.9880, 0.8103, 0.5707)  1 P 1.57
O (0.2706, 0.1258, 0.7278)  1 P 1.52
O (0.6310, 0.9880, 0.5707)  1 P 1.57
O (0.5328, 0.8129, 0.2203)  1 P 1.52
O (0.8129, 0.4340, 0.2203)  1 P 1.52
O (0.8976, 0.0815, 0.2822)  1 P 1.57
O (0.1800, 0.3926, 0.4285)  1 P 1.51
O (0.4340, 0.5328, 0.2203)  1 P 1.52
O (0.8453, 0.7741, 0.9042)  1 P 1.53
O (0.0815, 0.7386, 0.2822)  1 P 1.57
O (0.4764, 0.8453, 0.9042)  1 P 1.53
O (0.7741, 0.4764, 0.9042)  1 P 1.53
P (0.7477, 0.4703, 0.7479)  4 O 1.52-1.57
P (0.0341, 0.7477, 0.7479)  4 O 1.52-1.57
P (0.4703, 0.0341, 0.7479)  4 O 1.52-1.57
P (0.5419, 0.9711, 0.2504)  4 O 1.51-1.57
P (0.9711, 0.2365, 0.2504)  4 O 1.51-1.57
P (0.2365, 0.5419, 0.2504)  4 O 1.51-1.57

Calculated values
Mass density, g/cm3: 3.57
Energy, eV per atom: -12.09
Crystal system: trigonal
E_form (uncorrected), eV per atom: -2.14



[2]
VASP calculation (meta-GGA SCAN) on Ti3Cr2SnP6O24 at its PBEsol-relaxed geometry.

Lattice parameters (Å, degrees): 8.6167 8.6167 8.6090 59.97 59.97 60.00
Closest atoms and distances in Å follow each position.
Positions (direct):
Ti (0.1438, 0.1438, 0.5688)  6 O 1.93-2.05
Ti (0.3555, 0.3555, 0.9335)  6 O 1.92-2.02
Ti (0.6427, 0.6427, 0.0719)  6 O 1.93-2.03
Cr (0.0029, 0.0029, 0.9914)  6 O 2.18-2.25
Cr (0.4988, 0.4988, 0.5037)  6 O 2.24
Sn (0.8562, 0.8562, 0.4314)  6 O 2.00-2.09
P (0.2528, 0.5407, 0.2505)  4 O 1.53-1.57
P (0.5407, 0.9560, 0.2505)  4 O 1.53-1.57
P (0.9560, 0.2528, 0.2505)  4 O 1.53-1.57
P (0.0456, 0.7485, 0.7527)  4 O 1.53-1.55
P (0.4533, 0.0456, 0.7527)  4 O 1.53-1.55
P (0.7485, 0.4533, 0.7527)  4 O 1.53-1.55
O (0.1138, 0.3169, 0.0718)  1 P 1.53
O (0.3169, 0.4975, 0.0718)  1 P 1.53
O (0.0577, 0.9145, 0.7665)  1 P 1.55
O (0.4975, 0.1138, 0.0718)  1 P 1.53
O (0.0176, 0.8080, 0.5653)  1 P 1.54
O (0.2400, 0.5866, 0.7405)  1 P 1.55
O (0.2613, 0.0577, 0.7665)  1 P 1.55
O (0.4329, 0.2400, 0.7405)  1 P 1.55
O (0.1871, 0.3846, 0.4313)  1 P 1.53
O (0.5866, 0.4329, 0.7405)  1 P 1.55
O (0.0888, 0.7378, 0.2281)  1 P 1.57
O (0.3846, 0.9970, 0.4313)  1 P 1.53
O (0.6091, 0.0176, 0.5653)  1 P 1.54
O (0.9145, 0.2613, 0.7665)  1 P 1.55
O (0.4128, 0.5605, 0.2666)  1 P 1.55
O (0.8080, 0.6091, 0.5653)  1 P 1.54
O (0.5605, 0.7601, 0.2666)  1 P 1.55
O (0.7378, 0.9453, 0.2281)  1 P 1.57
O (0.7601, 0.4128, 0.2666)  1 P 1.55
O (0.9970, 0.1871, 0.4313)  1 P 1.53
O (0.5024, 0.8821, 0.9265)  1 P 1.53
O (0.9453, 0.0888, 0.2281)  1 P 1.57
O (0.6890, 0.5024, 0.9265)  1 P 1.53
O (0.8821, 0.6890, 0.9265)  1 P 1.53

Calculated values
Mass density, g/cm3: 3.44
Energy, eV per atom: -11.78
Crystal system: trigonal
E_form (uncorrected), eV per atom: -2.54



[3]
VASP calculation (meta-GGA SCAN) on V3CrSn2P6O24 at its PBEsol-relaxed geometry.

Lattice parameters (Å, degrees): 8.4022 8.4022 8.8986 61.83 61.83 60.00
Closest atoms and distances in Å follow each position.
Positions (direct):
V (0.6475, 0.6475, 0.0575)  6 O 1.87-1.97
V (0.8532, 0.8532, 0.4405)  6 O 1.92-1.94
V (0.3532, 0.3532, 0.9405)  6 O 1.90-1.97
Cr (0.1494, 0.1494, 0.5517)  6 O 1.90-2.01
Sn (0.0102, 0.0102, 0.9693)  3 O 2.33
Sn (0.5046, 0.5046, 0.4862)  6 O 2.42-2.60
P (0.2504, 0.9648, 0.2534)  4 O 1.53-1.56
P (0.9648, 0.5315, 0.2534)  4 O 1.53-1.56
P (0.5315, 0.2504, 0.2534)  4 O 1.53-1.56
P (0.4652, 0.7497, 0.7502)  4 O 1.53-1.56
P (0.0350, 0.4652, 0.7502)  4 O 1.53-1.56
P (0.7497, 0.0350, 0.7502)  4 O 1.53-1.56
O (0.1280, 0.5058, 0.0783)  1 P 1.54
O (0.5058, 0.2879, 0.0783)  1 P 1.54
O (0.2879, 0.1280, 0.0783)  1 P 1.54
O (0.0591, 0.9566, 0.2807)  1 P 1.54
O (0.2542, 0.9797, 0.4165)  1 P 1.53
O (0.4146, 0.7691, 0.2308)  1 P 1.56
O (0.9566, 0.7037, 0.2807)  1 P 1.54
O (0.7691, 0.5855, 0.2308)  1 P 1.56
O (0.6413, 0.7625, 0.5836)  1 P 1.53
O (0.5855, 0.4146, 0.2308)  1 P 1.56
O (0.2890, 0.9429, 0.7306)  1 P 1.56
O (0.0126, 0.6413, 0.5836)  1 P 1.53
O (0.9797, 0.3496, 0.4165)  1 P 1.53
O (0.7037, 0.0591, 0.2807)  1 P 1.54
O (0.4148, 0.5860, 0.7707)  1 P 1.54
O (0.3496, 0.2542, 0.4165)  1 P 1.53
O (0.2285, 0.4148, 0.7707)  1 P 1.54
O (0.0375, 0.2890, 0.7306)  1 P 1.56
O (0.5860, 0.2285, 0.7707)  1 P 1.54
O (0.7625, 0.0126, 0.5836)  1 P 1.53
O (0.9429, 0.0375, 0.7306)  1 P 1.56
O (0.7104, 0.8710, 0.9233)  1 P 1.53
O (0.4953, 0.7104, 0.9233)  1 P 1.53
O (0.8710, 0.4953, 0.9233)  1 P 1.53

Calculated values
Mass density, g/cm3: 3.68
Energy, eV per atom: -12.26
Crystal system: trigonal
E_form (uncorrected), eV per atom: -2.41



What is the energy in the third record? -12.26 eV per atom